(1)
Sn3GeSe: relaxed, GGA-PBE.

```
Sn3GeSe
1.0
5.399 0.000 0.000
0.000 5.399 0.000
0.000 0.000 5.399
Ge Sn Se
1 3 1
Direct
0.000 0.000 0.000 Ge
0.000 0.500 0.000 Sn
0.000 0.000 0.500 Sn
0.500 0.000 0.000 Sn
0.500 0.500 0.500 Se
```

## Properties
Its symmetry is Pm-3m, No. 221. For the density of states at the Fermi level, the calculation gives 0.86 states/eV/atom. The value obtained for the uncorrected formation energy is 0.480 eV/atom. The distance to the lowest polymorph of the same formula comes out at 0.00 eV/f.u.

(2)
Cd2AsP: relaxed, GGA-PBE.

```
Cd2AsP
1.0
3.267 -0.014 0.000
-0.764 3.176 0.000
0.000 0.000 8.017
As Cd P
1 2 1
Direct
0.500 0.500 0.750 As
0.000 0.000 0.013 Cd
0.000 0.000 0.487 Cd
0.500 0.500 0.250 P
```

## Properties
Its symmetry is Cmmm, No. 65. For the density of states at the Fermi level, the calculation gives 0.53 states/eV/atom. The calculated formation energy is 0.33 eV per atom. The distance to the lowest polymorph of the same formula comes out at 1.00 eV/f.u.

(3)
CeTcGe: relaxed, GGA-PBE.

```
CeTcGe
1.0
3.719 0.000 0.000
0.000 4.388 0.000
0.000 -2.194 3.800
Ge Tc Ce
1 1 1
Direct
0.167 0.000 0.000 Ge
0.167 0.333 0.667 Tc
0.667 0.667 0.333 Ce
```

## Properties
Its symmetry is P-6m2, No. 187. For the density of states at the Fermi level, the calculation gives 1.65 states/eV/atom. The calculated formation energy is -0.34 eV per atom. The distance to the lowest polymorph of the same formula comes out at 0.59 eV/f.u.

(4)
NpVFe4: relaxed, GGA-PBE.

```
NpVFe4
1.0
4.887 0.000 0.000
2.444 4.233 0.000
2.444 1.411 3.991
Np Fe V
1 4 1
Direct
0.250 0.250 0.250 Np
0.626 0.626 0.122 Fe
0.626 0.122 0.626 Fe
0.626 0.626 0.626 Fe
0.122 0.626 0.626 Fe
0.000 0.000 0.000 V
```

## Properties
Its symmetry is F-43m, No. 216. For the density of states at the Fermi level, the calculation gives 2.11 states/eV/atom. The calculated formation energy is 0.09 eV per atom.

(5)
Ac3TbTl4S8: relaxed, GGA-PBE.

```
Ac3TbTl4S8
1.0
-7.683 -0.788 -3.962
-2.796 -5.523 6.519
2.984 7.859 2.159
Ac Tb Tl S
3 1 4 8
Direct
0.500 0.500 0.000 Ac
0.500 0.500 0.500 Ac
0.000 0.500 0.500 Ac
0.000 0.500 0.000 Tb
0.500 0.000 0.000 Tl
0.500 0.000 0.500 Tl
0.000 0.000 0.000 Tl
0.000 0.000 0.500 Tl
0.227 0.705 0.979 S
0.227 0.705 0.453 S
0.262 0.287 0.524 S
0.752 0.705 0.979 S
0.248 0.295 0.021 S
0.738 0.713 0.476 S
0.773 0.295 0.547 S
0.773 0.295 0.021 S
```

## Properties
Its symmetry is R-3m, No. 166. For the density of states at the Fermi level, the calculation gives 0.00 states/eV/atom. The value obtained for the uncorrected formation energy is -1.483 eV/atom.

(6)
BeOsRu2: relaxed, GGA-PBE.

```
BeOsRu2
1.0
2.728 0.000 0.000
0.000 3.738 0.000
0.000 0.000 5.113
Ru Os Be
2 1 1
Direct
0.000 0.000 0.013 Ru
0.000 0.000 0.487 Ru
0.500 0.500 0.750 Os
0.500 0.500 0.250 Be
```

## Properties
Its symmetry is Pmmm, No. 47. For the density of states at the Fermi level, the calculation gives 0.88 states/eV/atom. The calculated formation energy is 0.06 eV per atom.

(7)
PS2Cl5: relaxed, GGA-PBE.

```
PS2Cl5
1.0
5.847 -0.443 2.009
2.306 8.033 0.875
-0.964 0.058 6.157
P S Cl
1 2 5
Direct
0.903 0.002 0.016 P
0.504 0.517 0.536 S
0.298 0.465 0.373 S
0.970 0.092 0.287 Cl
0.768 0.815 0.212 Cl
0.038 0.191 0.817 Cl
0.140 0.828 0.843 Cl
0.601 0.090 0.916 Cl
```

## Properties
Its symmetry is P1, No. 1. The value obtained for the uncorrected formation energy is -0.299 eV/atom.

(8)
GaTeF2: relaxed, GGA-PBE.

```
GaTeF2
1.0
1.893 0.000 9.864
-0.946 1.639 9.864
-0.946 -1.639 9.864
Te Ga F
1 1 2
Direct
0.000 0.000 0.000 Te
0.500 0.500 0.500 Ga
0.868 0.868 0.868 F
0.132 0.132 0.132 F
```

## Properties
Its symmetry is R-3m, No. 166. For the density of states at the Fermi level, the calculation gives 0.59 states/eV/atom. The value obtained for the uncorrected formation energy is -1.298 eV/atom. The distance to the lowest polymorph of the same formula comes out at 0.00 eV/f.u.

(9)
Ce3GeAu: relaxed, GGA-PBE.

```
Ce3GeAu
1.0
-3.269 0.688 2.815
1.012 -7.111 2.914
4.825 6.551 4.001
Ce Ge Au
6 2 2
Direct
0.500 0.332 0.000 Ce
0.000 0.813 0.625 Ce
0.500 0.668 0.000 Ce
0.500 0.500 0.500 Ce
0.000 0.187 0.375 Ce
0.500 0.000 0.500 Ce
0.000 0.631 0.263 Ge
0.000 0.369 0.737 Ge
0.500 0.083 0.165 Au
0.500 0.917 0.835 Au
```

## Properties
Its symmetry is Cmmm, No. 65. For the density of states at the Fermi level, the calculation gives 2.42 states/eV/atom. The calculated formation energy is -0.22 eV per atom.

(10)
RbThHSe3: relaxed, GGA-PBE.

```
RbThHSe3
1.0
4.434 0.000 0.000
-2.217 7.905 0.000
0.000 0.000 10.357
Rb Th H Se
2 2 2 6
Direct
0.737 0.474 0.750 Rb
0.263 0.526 0.250 Rb
0.000 0.000 0.500 Th
0.000 0.000 0.000 Th
0.394 0.789 0.750 H
0.606 0.211 0.250 H
0.615 0.230 0.422 Se
0.385 0.770 0.578 Se
0.385 0.770 0.922 Se
0.615 0.230 0.078 Se
0.073 0.145 0.750 Se
0.927 0.855 0.250 Se
```

## Properties
Its symmetry is Cmcm, No. 63. For the density of states at the Fermi level, the calculation gives 0.00 states/eV/atom.

| no. | energy (eV/atom) |
| --- | --- |
| 1 | -3.542 |
| 2 | -2.646 |
| 3 | -7.310 |
| 4 | -9.233 |
| 5 | -5.198 |
| 6 | -8.314 |
| 7 | -3.161 |
| 8 | -3.776 |
| 9 | -5.363 |
| 10 | -4.891 |